Below is an optimized crystal structure of PrHfGe, with properties calculated at the PBE level.

a = 4.1111 Å, b = 4.6504 Å, c = 4.6504 Å
α = 120.00°, β = 90.00°, γ = 90.00°
Element x y z (fractional)
Pr: 0.6833 0.6667 0.3333
Ge: 0.1282 0.0000 0.0000
Hf: 0.1885 0.3333 0.6667

The calculation puts the energy relative to the elements at -0.19 eV/atom. The electronic total energy is -6.635 eV/atom. The total magnetization is 0.0003 μB/atom. The space group is No. 156.